A plane-wave DFT calculation with GGA-PBE was carried out for an optimized crystal structure of TbYMo4.

Results
Its total energy is -8.961 eV per atom. For the total magnetic moment, the calculation gives 0.000 μB per atom. Its theoretical density is 8.77 g cm⁻³. The density of states at the Fermi level comes out at 1.37 states/eV/atom.

a b c (Å): 5.529 5.529 5.529
angles (deg): 60.00 60.00 60.00
Sites, in units of the cell vectors:
Mo: 0.125 0.625 0.625
Mo: 0.625 0.625 0.625
Mo: 0.625 0.125 0.625
Mo: 0.625 0.625 0.125
Y: 0.000 0.000 0.000
Tb: 0.250 0.250 0.250

=====

A plane-wave DFT calculation with GGA-PBE was carried out for an optimized crystal structure of Li8HgPd5.

Results
Its total energy is -3.237 eV per atom. For the total magnetic moment, the calculation gives 0.000 μB per atom. Its theoretical density is 6.18 g cm⁻³. The density of states at the Fermi level comes out at 0.38 states/eV/atom.

a b c (Å): 6.512 6.512 6.512
angles (deg): 111.55 105.40 111.55
Sites, in units of the cell vectors:
Li: 0.740 0.258 0.340
Li: 0.517 0.599 0.260
Li: 0.143 0.746 0.075
Li: 0.925 0.068 0.671
Li: 0.660 0.401 0.918
Li: 0.082 0.742 0.483
Li: 0.329 0.254 0.397
Li: 0.603 0.932 0.857
Pd: 0.295 0.087 0.951
Pd: 0.792 0.656 0.705
Pd: 0.864 0.913 0.208
Pd: 0.049 0.344 0.136
Pd: 0.500 0.000 0.500
Hg: 0.250 0.500 0.750

=====

A plane-wave DFT calculation with GGA-PBE was carried out for an optimized crystal structure of InAgSnF2.

Results
Its total energy is -3.720 eV per atom. For the total magnetic moment, the calculation gives 0.000 μB per atom. The calculation puts the uncorrected formation energy at -508 kJ/mol of formula units. Its theoretical density is 5.32 g cm⁻³. The density of states at the Fermi level comes out at 0.25 states/eV/atom.

a b c (Å): 4.410 6.087 4.410
angles (deg): 90.00 90.00 90.00
Sites, in units of the cell vectors:
F: 0.500 0.000 0.000
F: 0.000 0.000 0.500
Ag: 0.500 0.500 0.500
In: 0.000 0.500 0.000
Sn: 0.000 0.000 0.000

=====

A plane-wave DFT calculation with GGA-PBE was carried out for an optimized crystal structure of Sc2CrNiPt.

Results
Its total energy is -6.735 eV per atom. For the total magnetic moment, the calculation gives 0.759 μB per atom. Its theoretical density is 6.71 g cm⁻³. The density of states at the Fermi level comes out at 0.69 states/eV/atom.

a b c (Å): 4.696 4.442 4.696
angles (deg): 90.00 90.00 90.00
Each line ends with the local moment (μB).
Sites, in units of the cell vectors:
Sc: 0.500 0.000 0.000  -0.04
Sc: 0.000 0.000 0.500  -0.06
Cr: 0.000 0.500 0.000  3.26
Pt: 0.500 0.500 0.500  -0.01
Ni: 0.000 0.000 0.000  0.21

=====

A plane-wave DFT calculation with GGA-PBE was carried out for an optimized crystal structure of KSb6S8.

Results
Its total energy is -4.114 eV per atom. For the total magnetic moment, the calculation gives 0.000 μB per atom. The calculation puts the uncorrected formation energy at -276 kJ/mol of formula units. Its theoretical density is 3.79 g cm⁻³. The density of states at the Fermi level comes out at 0.33 states/eV/atom.

a b c (Å): 7.777 7.777 7.777
angles (deg): 79.65 79.65 79.65
Sites, in units of the cell vectors:
Sb: 0.625 0.212 0.374
Sb: 0.212 0.374 0.625
Sb: 0.374 0.625 0.212
Sb: 0.788 0.626 0.375
Sb: 0.626 0.375 0.788
Sb: 0.375 0.788 0.626
K: 0.000 0.000 0.000
S: 0.303 0.303 0.303
S: 0.755 0.379 0.091
S: 0.245 0.621 0.909
S: 0.697 0.697 0.697
S: 0.909 0.245 0.621
S: 0.379 0.091 0.755
S: 0.091 0.755 0.379
S: 0.621 0.909 0.245

=====

A plane-wave DFT calculation with GGA-PBE was carried out for an optimized crystal structure of ThZrIr.

Results
Its total energy is -8.892 eV per atom. For the excess energy over the best structure of this formula in the dataset, the calculation gives 28 meV/atom. For the total magnetic moment, the calculation gives 0.000 μB per atom. Its theoretical density is 11.64 g cm⁻³. The density of states at the Fermi level comes out at 0.92 states/eV/atom.

a b c (Å): 4.635 4.635 6.849
angles (deg): 90.00 90.00 90.00
Sites, in units of the cell vectors:
Th: 0.000 0.500 0.873
Th: 0.500 0.000 0.127
Zr: 0.000 0.000 0.500
Zr: 0.500 0.500 0.500
Ir: 0.500 0.000 0.717
Ir: 0.000 0.500 0.283

=====

A plane-wave DFT calculation with GGA-PBE was carried out for an optimized crystal structure of K2TlW.

Results
Its total energy is -3.096 eV per atom. For the excess energy over the best structure of this formula in the dataset, the calculation gives 303 meV/atom. For the total magnetic moment, the calculation gives 0.303 μB per atom. Its theoretical density is 7.19 g cm⁻³. The density of states at the Fermi level comes out at 0.11 states/eV/atom.

a b c (Å): 6.637 6.637 6.637
angles (deg): 142.57 142.43 54.08
Each line ends with the local moment (μB).
Sites, in units of the cell vectors:
K: 0.001 0.001 0.000  -0.01
K: 0.499 0.499 0.000  -0.01
W: 0.250 0.750 0.500  1.09
Tl: 0.750 0.250 0.500  -0.06

=====

A plane-wave DFT calculation with GGA-PBE was carried out for an optimized crystal structure of BaMnW2.

Results
Its total energy is -7.648 eV per atom. For the excess energy over the best structure of this formula in the dataset, the calculation gives 860 meV/atom. For the total magnetic moment, the calculation gives 0.788 μB per atom. Its theoretical density is 11.37 g cm⁻³. The density of states at the Fermi level comes out at 1.31 states/eV/atom.

a b c (Å): 5.843 5.843 5.843
angles (deg): 139.97 139.97 57.90
Each line ends with the local moment (μB).
Sites, in units of the cell vectors:
W: 0.000 0.000 0.000  -0.11
W: 0.500 0.500 0.000  -0.11
Mn: 0.750 0.250 0.500  3.32
Ba: 0.250 0.750 0.500  -0.01

=====

A plane-wave DFT calculation with GGA-PBE was carried out for an optimized crystal structure of CrAg2HgIr.

Results
Its total energy is -3.421 eV per atom. For the total magnetic moment, the calculation gives 0.917 μB per atom. Its theoretical density is 8.37 g cm⁻³. The density of states at the Fermi level comes out at 0.69 states/eV/atom.

a b c (Å): 5.073 5.092 5.073
angles (deg): 90.00 90.00 90.00
Each line ends with the local moment (μB).
Sites, in units of the cell vectors:
Ag: 0.000 0.000 0.500  0.01
Ag: 0.500 0.000 0.000  0.00
Cr: 0.500 0.500 0.500  4.12
Ir: 0.000 0.500 0.000  -0.22
Hg: 0.000 0.000 0.000  0.01

=====

A plane-wave DFT calculation with GGA-PBE was carried out for an optimized crystal structure of Ni5As2S.

Results
Its total energy is -5.430 eV per atom. For the excess energy over the best structure of this formula in the dataset, the calculation gives 38 meV/atom. For the total magnetic moment, the calculation gives 0.000 μB per atom. The calculation puts the uncorrected formation energy at -106 kJ/mol of formula units. Its theoretical density is 6.32 g cm⁻³. The density of states at the Fermi level comes out at 0.82 states/eV/atom.

a b c (Å): 3.431 6.611 11.401
angles (deg): 90.00 90.00 105.04
Sites, in units of the cell vectors:
Ni: 0.952 0.903 0.593
Ni: 0.246 0.492 0.416
Ni: 0.048 0.097 0.407
Ni: 0.246 0.492 0.084
Ni: 0.754 0.508 0.916
Ni: 0.254 0.509 0.750
Ni: 0.746 0.491 0.250
Ni: 0.048 0.097 0.093
Ni: 0.754 0.508 0.584
Ni: 0.952 0.903 0.907
S: 0.136 0.272 0.250
S: 0.864 0.728 0.750
As: 0.129 0.259 0.589
As: 0.871 0.741 0.089
As: 0.129 0.259 0.911
As: 0.871 0.741 0.411

=====

A plane-wave DFT calculation with GGA-PBE was carried out for an optimized crystal structure of LiLa2Au4.

Results
Its total energy is -4.179 eV per atom. For the excess energy over the best structure of this formula in the dataset, the calculation gives 0 meV/atom. For the total magnetic moment, the calculation gives 0.000 μB per atom. Its theoretical density is 9.84 g cm⁻³. The density of states at the Fermi level comes out at 0.60 states/eV/atom.

a b c (Å): 5.165 5.165 8.386
angles (deg): 72.06 72.06 60.00
Sites, in units of the cell vectors:
Li: 0.000 0.000 0.000
Au: 0.376 0.376 0.871
Au: 0.890 0.890 0.330
Au: 0.624 0.624 0.129
Au: 0.110 0.110 0.670
La: 0.243 0.243 0.271
La: 0.757 0.757 0.729

=====

A plane-wave DFT calculation with GGA-PBE was carried out for an optimized crystal structure of Ba2Cd4PbAu3.

Results
Its total energy is -2.528 eV per atom. For the total magnetic moment, the calculation gives 0.000 μB per atom. Its theoretical density is 9.05 g cm⁻³. The density of states at the Fermi level comes out at 0.52 states/eV/atom.

a b c (Å): 4.730 4.730 12.487
angles (deg): 90.00 90.00 90.00
Sites, in units of the cell vectors:
Au: 0.500 0.000 0.867
Au: 0.000 0.500 0.133
Au: 0.000 0.000 0.500
Cd: 0.500 0.000 0.644
Cd: 0.500 0.500 0.000
Cd: 0.000 0.000 0.000
Cd: 0.000 0.500 0.356
Ba: 0.500 0.000 0.242
Ba: 0.000 0.500 0.758
Pb: 0.500 0.500 0.500